1.
DFT (PBE-GGA) results for a relaxed structure of NaCaIn2Ni.

Properties
Its electronic total energy is -0.1104 hartree per atom. For the density of states at the Fermi level, the calculation gives 3.266 states/eV/cell. The volume comes out at 25.8 Å³/atom. As for the calculated formation energy: -0.0877 eV/atom. The energy above the most stable polymorph in this dataset comes out at 79 meV per atom.

Unit cell a=4.9785 b=4.9785 c=5.1968 alpha=90.00 beta=90.00 gamma=90.00
Last column: nearest neighbours and their distance in Å.
Positions (direct):
Na: 0.0000 0.0000 0.0000  2 Ni 2.60
Ca: 0.5000 0.5000 0.0000  4 Na 3.52, 8 In 3.60
In: 0.0000 0.5000 0.5000  2 Ni 2.49
In: 0.5000 0.0000 0.5000  2 Ni 2.49
Ni: 0.0000 0.0000 0.5000  4 In 2.49, 2 Na 2.60

---

2.
DFT (PBE-GGA) results for a relaxed structure of Sr5Cd4In.

Properties
Its electronic total energy is -0.0674 hartree per atom. For the density of states at the Fermi level, the calculation gives 7.486 states/eV/cell. The volume comes out at 33.6 Å³/atom. As for the calculated formation energy: -0.3541 eV/atom.

Unit cell a=4.0672 b=4.0672 c=20.3028 alpha=90.00 beta=90.00 gamma=90.00
Last column: nearest neighbours and their distance in Å.
Positions (direct):
Sr: 0.0000 0.0000 0.0000  8 Cd 3.52
Sr: 0.0000 0.0000 0.2008  8 Cd 3.53
Sr: 0.0000 0.0000 0.4006  4 Cd 3.51, 4 In 3.51
Sr: 0.0000 0.0000 0.5994  4 Cd 3.51, 4 In 3.51
Sr: 0.0000 0.0000 0.7992  8 Cd 3.53
Cd: 0.5000 0.5000 0.0998  8 Sr 3.52-3.53
Cd: 0.5000 0.5000 0.3014  8 Sr 3.51-3.53
Cd: 0.5000 0.5000 0.6986  8 Sr 3.51-3.53
Cd: 0.5000 0.5000 0.9002  8 Sr 3.52-3.53
In: 0.5000 0.5000 0.5000  8 Sr 3.51

---

3.
DFT (PBE-GGA) results for a relaxed structure of TlNiBr2.

Properties
Its electronic total energy is -0.1005 hartree per atom. For the density of states at the Fermi level, the calculation gives 6.684 states/eV/cell. The volume comes out at 26.0 Å³/atom. The energy above the most stable polymorph in this dataset comes out at 492 meV per atom.

Unit cell a=5.2992 b=5.2992 c=3.7059 alpha=90.00 beta=90.00 gamma=90.00
Last column: nearest neighbours and their distance in Å.
Positions (direct):
Tl: 0.0000 0.0000 0.0000  8 Br 3.23
Ni: 0.5000 0.5000 0.0000  8 Br 3.23
Br: 0.0000 0.5000 0.5000  4 Tl 3.23, 4 Ni 3.23
Br: 0.5000 0.0000 0.5000  4 Tl 3.23, 4 Ni 3.23

---

4.
DFT (PBE-GGA) results for a relaxed structure of BaAlCd2.

Properties
Its electronic total energy is -0.0712 hartree per atom. For the density of states at the Fermi level, the calculation gives 1.587 states/eV/cell. The volume comes out at 29.1 Å³/atom. As for the calculated formation energy: -0.0636 eV/atom.

Unit cell a=3.6112 b=4.7686 c=6.9204 alpha=90.00 beta=102.19 gamma=90.00
Last column: nearest neighbours and their distance in Å.
Positions (direct):
Ba: 0.0000 0.0000 0.0000  2 Al 3.55, 8 Cd 3.58-3.66, 2 Ba 3.61
Al: 0.5000 0.0000 0.5000  4 Cd 2.86
Cd: 0.3573 0.5000 0.6993  2 Al 2.86, 1 Cd 3.14
Cd: 0.6427 0.5000 0.3007  2 Al 2.86, 1 Cd 3.14

---

5.
DFT (PBE-GGA) results for a relaxed structure of Y2HfScCr.

Properties
Its electronic total energy is -0.2465 hartree per atom. For the density of states at the Fermi level, the calculation gives 3.569 states/eV/cell. The volume comes out at 32.0 Å³/atom. As for the calculated formation energy: 1.0586 eV/atom.

Unit cell a=5.5371 b=5.5371 c=5.2125 alpha=90.00 beta=90.00 gamma=90.00
Last column: nearest neighbours and their distance in Å.
Positions (direct):
Y: 0.0000 0.5000 0.0000  2 Hf 2.77
Y: 0.5000 0.0000 0.0000  2 Hf 2.77
Hf: 0.0000 0.0000 0.0000  2 Sc 2.61, 4 Y 2.77
Sc: 0.0000 0.0000 0.5000  2 Hf 2.61
Cr: 0.5000 0.5000 0.5000  8 Y 3.80, 4 Sc 3.92

---

6.
DFT (PBE-GGA) results for a relaxed structure of LaCF2.

Properties
Its electronic total energy is -0.2119 hartree per atom. For the density of states at the Fermi level, the calculation gives 2.366 states/eV/cell. The volume comes out at 15.6 Å³/atom. The energy above the most stable polymorph in this dataset comes out at 131 meV per atom.

Unit cell a=8.4870 b=8.4870 c=8.4870 alpha=153.13 beta=153.13 gamma=38.37
Last column: nearest neighbours and their distance in Å.
Positions (direct):
La: 0.0000 0.0000 0.0000  4 F 2.42
La: 0.7500 0.2500 0.5000  4 F 2.42
C: 0.2500 0.7500 0.5000  4 F 2.46
C: 0.5000 0.5000 0.0000  4 F 2.46
F: 0.1127 0.6250 0.9877  2 La 2.42, 2 C 2.46
F: 0.3750 0.3627 0.4877  2 La 2.42, 2 C 2.46
F: 0.6373 0.1250 0.0123  2 La 2.42, 2 C 2.46
F: 0.8750 0.8873 0.5123  2 La 2.42, 2 C 2.46

---

7.
DFT (PBE-GGA) results for a relaxed structure of AgSb2P.

Properties
Its electronic total energy is -0.1400 hartree per atom. For the density of states at the Fermi level, the calculation gives 2.687 states/eV/cell. The volume comes out at 22.8 Å³/atom.

Unit cell a=4.1311 b=4.1311 c=10.6963 alpha=90.00 beta=90.00 gamma=90.00
Last column: nearest neighbours and their distance in Å.
Positions (direct):
Ag: 0.2500 0.7500 0.0000  4 P 2.80, 4 Ag 2.92
Ag: 0.7500 0.2500 0.0000  4 P 2.80, 4 Ag 2.92
Sb: 0.2500 0.2500 0.2408  4 P 3.00, 4 Ag 3.30
Sb: 0.2500 0.7500 0.5000  4 Sb 2.92
Sb: 0.7500 0.2500 0.5000  4 Sb 2.92
Sb: 0.7500 0.7500 0.7592  4 P 3.00, 4 Ag 3.30
P: 0.2500 0.2500 0.8228  4 Ag 2.80, 4 Sb 3.00
P: 0.7500 0.7500 0.1772  4 Ag 2.80, 4 Sb 3.00

---

8.
DFT (PBE-GGA) results for a relaxed structure of Tm3Th2Sn3.

Properties
Its electronic total energy is -0.2057 hartree per atom. For the density of states at the Fermi level, the calculation gives 16.289 states/eV/cell. The volume comes out at 29.3 Å³/atom. As for the calculated formation energy: -0.5642 eV/atom.

Unit cell a=9.1434 b=9.1434 c=6.4671 alpha=90.00 beta=90.00 gamma=120.00
Last column: nearest neighbours and their distance in Å.
Positions (direct):
Tm: 0.0000 0.2414 0.2500  3 Sn 3.07-3.43
Tm: 0.0000 0.7586 0.7500  3 Sn 3.07-3.43
Tm: 0.2414 0.0000 0.2500  3 Sn 3.07-3.43
Tm: 0.2414 0.2414 0.7500  3 Sn 3.07-3.43
Tm: 0.7586 0.0000 0.7500  3 Sn 3.07-3.43
Tm: 0.7586 0.7586 0.2500  3 Sn 3.07-3.43
Th: 0.3333 0.6667 0.0000  2 Th 3.23, 6 Sn 3.27
Th: 0.3333 0.6667 0.5000  2 Th 3.23, 6 Sn 3.27
Th: 0.6667 0.3333 0.0000  2 Th 3.23, 6 Sn 3.27
Th: 0.6667 0.3333 0.5000  2 Th 3.23, 6 Sn 3.27
Sn: 0.0000 0.3833 0.7500  3 Tm 3.07-3.43, 4 Th 3.27
Sn: 0.0000 0.6167 0.2500  3 Tm 3.07-3.43, 4 Th 3.27
Sn: 0.3833 0.0000 0.7500  3 Tm 3.07-3.43, 4 Th 3.27
Sn: 0.3833 0.3833 0.2500  3 Tm 3.07-3.43, 4 Th 3.27
Sn: 0.6167 0.0000 0.2500  3 Tm 3.07-3.43, 4 Th 3.27
Sn: 0.6167 0.6167 0.7500  3 Tm 3.07-3.43, 4 Th 3.27

---

9.
DFT (PBE-GGA) results for a relaxed structure of Ca2Ni.

Properties
Its electronic total energy is -0.0850 hartree per atom. For the density of states at the Fermi level, the calculation gives 6.481 states/eV/cell. The volume comes out at 28.4 Å³/atom. As for the calculated formation energy: 0.9483 eV/atom.

Unit cell a=6.2237 b=6.2237 c=6.2237 alpha=60.00 beta=60.00 gamma=60.00
Last column: nearest neighbours and their distance in Å.
Positions (direct):
Ca: 0.0000 0.0000 0.0000  6 Ca 3.11
Ca: 0.0000 0.0000 0.5000  6 Ca 3.11
Ca: 0.0000 0.5000 0.0000  6 Ca 3.11
Ca: 0.5000 0.0000 0.0000  6 Ca 3.11
Ni: 0.3750 0.3750 0.3750  12 Ca 3.65, 4 Ni 3.81
Ni: 0.6250 0.6250 0.6250  12 Ca 3.65, 4 Ni 3.81

---

10.
DFT (PBE-GGA) results for a relaxed structure of Pr2PuTl9.

Properties
Its electronic total energy is -0.1468 hartree per atom. For the density of states at the Fermi level, the calculation gives 18.246 states/eV/cell. The volume comes out at 28.2 Å³/atom. As for the calculated formation energy: -0.2281 eV/atom.

Unit cell a=4.8254 b=4.8254 c=14.5204 alpha=90.00 beta=90.00 gamma=90.00
Last column: nearest neighbours and their distance in Å.
Positions (direct):
Pr: 0.0000 0.0000 0.1663  12 Tl 3.41-3.45
Pr: 0.0000 0.0000 0.8337  12 Tl 3.41-3.45
Pu: 0.0000 0.0000 0.5000  12 Tl 3.39-3.41
Tl: 0.0000 0.5000 0.0000  8 Tl 3.41-3.44, 4 Pr 3.41
Tl: 0.0000 0.5000 0.3362  8 Tl 3.39-3.43, 2 Pu 3.39, 2 Pr 3.45
Tl: 0.0000 0.5000 0.6638  8 Tl 3.39-3.43, 2 Pu 3.39, 2 Pr 3.45
Tl: 0.5000 0.0000 0.0000  8 Tl 3.41-3.44, 4 Pr 3.41
Tl: 0.5000 0.0000 0.3362  8 Tl 3.39-3.43, 2 Pu 3.39, 2 Pr 3.45
Tl: 0.5000 0.0000 0.6638  8 Tl 3.39-3.43, 2 Pu 3.39, 2 Pr 3.45
Tl: 0.5000 0.5000 0.1686  4 Pr 3.41, 8 Tl 3.43-3.44
Tl: 0.5000 0.5000 0.5000  8 Tl 3.39, 4 Pu 3.41
Tl: 0.5000 0.5000 0.8314  4 Pr 3.41, 8 Tl 3.43-3.44

---

11.
DFT (PBE-GGA) results for a relaxed structure of NaZr2SnH.

Properties
Its electronic total energy is -0.1965 hartree per atom. For the density of states at the Fermi level, the calculation gives 2.889 states/eV/cell. The volume comes out at 18.1 Å³/atom.

Unit cell a=4.4382 b=4.4382 c=4.6069 alpha=90.00 beta=90.00 gamma=90.00
Last column: nearest neighbours and their distance in Å.
Positions (direct):
Na: 0.0000 0.0000 0.0000  2 H 2.30
Zr: 0.0000 0.5000 0.5000  2 H 2.22
Zr: 0.5000 0.0000 0.5000  2 H 2.22
Sn: 0.5000 0.5000 0.0000  4 Na 3.14, 8 Zr 3.20
H: 0.0000 0.0000 0.5000  4 Zr 2.22, 2 Na 2.30

---

12.
DFT (PBE-GGA) results for a relaxed structure of LiZrRe2.

Properties
Its electronic total energy is -0.3155 hartree per atom. For the density of states at the Fermi level, the calculation gives 2.369 states/eV/cell. The volume comes out at 16.5 Å³/atom. As for the calculated formation energy: 0.2544 eV/atom. The energy above the most stable polymorph in this dataset comes out at 175 meV per atom.

Unit cell a=2.5926 b=4.4535 c=5.7207 alpha=90.00 beta=90.00 gamma=90.00
Last column: nearest neighbours and their distance in Å.
Positions (direct):
Li: 0.0000 0.0000 0.0000  2 Li 2.59, 2 Zr 2.86, 8 Re 2.86
Zr: 0.0000 0.0000 0.5000  2 Zr 2.59, 2 Li 2.86
Re: 0.5000 0.5000 0.2183  3 Re 2.50-2.59
Re: 0.5000 0.5000 0.7817  3 Re 2.50-2.59

---

Number 1: M_tot 0.00 μB per atom. Number 2: M_tot 0.00 μB per atom. Number 3: M_tot 0.25 μB per atom. Number 4: M_tot 0.00 μB per atom. Number 5: M_tot 0.98 μB per atom. Number 6: M_tot 0.25 μB per atom. Number 7: M_tot 0.00 μB per atom. Number 8: M_tot 0.00 μB per atom. Number 9: M_tot 0.00 μB per atom. Number 10: M_tot 0.47 μB per atom. Number 11: M_tot 0.00 μB per atom. Number 12: M_tot 0.00 μB per atom.